No. 1
Here is a relaxed structure of RbCdBiCl6 from Alexandria via LeMat-Bulk. Energies are from PBE.

## Properties
ΔE_f (raw) = -1.280 eV per atom
Crystal system = trigonal
Symmetry = P-31c
Fermi-level density of states = 0.00 states/eV/atom

Cell: 7.0733 7.0733 14.5046 Å, 90.00 90.00 120.00°
Fractional coordinates of all 18 atoms:
Cl 0.6289 0.6217 0.1434
Cl 0.3783 0.3711 0.3566
Cl 0.6217 0.6289 0.6434
Cl 0.0072 0.6289 0.8566
Cl 0.9928 0.3711 0.1434
Cl 0.9928 0.6217 0.3566
Cl 0.3711 0.3783 0.8566
Cl 0.3783 0.0072 0.1434
Cl 0.6289 0.0072 0.3566
Cl 0.3711 0.9928 0.6434
Cl 0.0072 0.3783 0.6434
Cl 0.6217 0.9928 0.8566
Cd 0.3333 0.6667 0.7500
Cd 0.6667 0.3333 0.2500
Rb 0.0000 0.0000 0.5000
Rb 0.0000 0.0000 0.0000
Bi 0.3333 0.6667 0.2500
Bi 0.6667 0.3333 0.7500

---

No. 2
Here is a relaxed structure of Y2SnPd8 from Alexandria via LeMat-Bulk. Energies are from PBE.

## Properties
Crystal system = monoclinic
Symmetry = C2/m
Fermi-level density of states = 0.36 states/eV/atom
Energy of formation = -673 kJ/mol of formula units

Cell: 4.7099 5.9997 8.1462 Å, 111.70 106.80 90.00°
Fractional coordinates of all 11 atoms:
Y 0.8114 0.3114 0.6228
Y 0.1886 0.6886 0.3772
Pd 0.0001 0.2536 0.0002
Pd 0.9999 0.7464 0.9998
Pd 0.8206 0.8209 0.6412
Pd 0.3589 0.5959 0.7178
Pd 0.6411 0.4041 0.2822
Pd 0.1794 0.1791 0.3588
Pd 0.3593 0.1226 0.7187
Pd 0.6407 0.8774 0.2813
Sn 0.5000 0.0000 0.0000

---

No. 3
Here is a relaxed structure of LiGdTh2 from Alexandria via LeMat-Bulk. Energies are from PBE.

## Properties
Crystal system = tetragonal
Symmetry = P4/mmm
E above lowest polymorph = 0.0000 eV per atom
Fermi-level density of states = 1.07 states/eV/atom
Energy of formation = 66 kJ/mol of formula units

Cell: 3.5097 3.5097 9.4548 Å, 90.00 90.00 90.00°
Fractional coordinates of all 4 atoms:
Li 0.5000 0.5000 0.0000
Th 0.0000 0.0000 0.7721
Th 0.0000 0.0000 0.2279
Gd 0.5000 0.5000 0.5000

---

No. 4
Here is a relaxed structure of Mn2Cd from Alexandria via LeMat-Bulk. Energies are from PBE.

## Properties
Crystal system = monoclinic
Symmetry = C2/m
Fermi-level density of states = 0.51 states/eV/atom
Energy of formation = 68 kJ/mol of formula units

Cell: 4.9827 4.9827 6.8998 Å, 70.00 70.00 36.29°
Fractional coordinates of all 6 atoms:
Cd 0.3352 0.3352 0.1034
Cd 0.6648 0.6648 0.8966
Mn 0.0052 0.0052 0.2910
Mn 0.6558 0.6558 0.4504
Mn 0.9948 0.9948 0.7090
Mn 0.3442 0.3442 0.5496

---

No. 5
Here is a relaxed structure of DyThIn from Alexandria via LeMat-Bulk. Energies are from PBE.

## Properties
Crystal system = hexagonal
Symmetry = P6_3/mmc
E above lowest polymorph = 0.0000 eV per atom
Fermi-level density of states = 1.40 states/eV/atom
Energy of formation = -78 kJ/mol of formula units

Cell: 5.4928 5.4928 6.6494 Å, 90.00 90.00 120.00°
Fractional coordinates of all 6 atoms:
Dy 0.3332 0.1668 0.7500
Dy 0.6668 0.8332 0.2500
Th 0.0000 0.5000 0.0000
Th 0.0000 0.5000 0.5000
In 0.6666 0.8334 0.7500
In 0.3334 0.1666 0.2500

---

No. 6
Here is a relaxed structure of MgTi2AgH from Alexandria via LeMat-Bulk. Energies are from PBE.

## Properties
Crystal system = tetragonal
Symmetry = P4/mmm
E above lowest polymorph = 0.0000 eV per atom
Fermi-level density of states = 1.13 states/eV/atom

Cell: 3.9480 3.9480 4.6234 Å, 90.00 90.00 90.00°
Fractional coordinates of all 5 atoms:
Ti 0.0000 0.5000 0.0000
Ti 0.5000 0.0000 0.0000
Mg 0.0000 0.0000 0.5000
Ag 0.5000 0.5000 0.5000
H 0.0000 0.0000 0.0000

---

No. 7
Here is a relaxed structure of Pu8GaPt5 from Alexandria via LeMat-Bulk. Energies are from PBE.

## Properties
Crystal system = tetragonal
Symmetry = I-4
Fermi-level density of states = 5.65 states/eV/atom
Energy of formation = -730 kJ/mol of formula units

Cell: 7.5524 7.5524 7.5524 Å, 109.21 109.99 109.21°
Fractional coordinates of all 14 atoms:
Pt 0.3772 0.1205 0.9923
Pt 0.8717 0.8795 0.2566
Pt 0.7434 0.6151 0.6228
Pt 0.5000 0.0000 0.5000
Pt 0.0077 0.3849 0.1283
Pu 0.2617 0.2384 0.3612
Pu 0.7639 0.2471 0.3734
Pu 0.6266 0.3906 0.8737
Pu 0.1263 0.7529 0.5169
Pu 0.1228 0.7616 0.0233
Pu 0.9767 0.0995 0.7383
Pu 0.6388 0.9005 0.8772
Pu 0.4831 0.6094 0.2361
Ga 0.2500 0.5000 0.7500

---

No. 8
Here is a relaxed structure of UPd2Pt4 from Alexandria via LeMat-Bulk. Energies are from PBE.

## Properties
Crystal system = tetragonal
Symmetry = I4/mmm
E above lowest polymorph = 0.3711 eV per atom
Fermi-level density of states = 1.81 states/eV/atom
Energy of formation = 45 kJ/mol of formula units

Cell: 5.0763 5.0762 6.3350 Å, 113.63 113.63 89.98°
Fractional coordinates of all 7 atoms:
Pd 0.6358 0.6358 0.2715
Pd 0.3642 0.3642 0.7285
Pt 0.0000 0.5000 0.0000
Pt 0.2500 0.7500 0.5000
Pt 0.5000 0.0000 0.0000
Pt 0.7500 0.2500 0.5000
U 0.0000 0.0000 0.0000

---

No. 9
Here is a relaxed structure of Mg3Pb5 from Alexandria via LeMat-Bulk. Energies are from PBE.

## Properties
Crystal system = monoclinic
Symmetry = Cm
E above lowest polymorph = 0.0300 eV per atom
Fermi-level density of states = 0.47 states/eV/atom
Energy of formation = 6 kJ/mol of formula units

Cell: 8.8899 8.8899 9.4172 Å, 97.90 97.90 138.74°
Fractional coordinates of all 16 atoms:
Pb 0.7138 0.4248 0.1619
Pb 0.2386 0.0789 0.2978
Pb 0.5789 0.7386 0.2978
Pb 0.7637 0.2637 0.5261
Pb 0.9248 0.2138 0.1619
Pb 0.0766 0.7872 0.8394
Pb 0.2380 0.7380 0.4741
Pb 0.2872 0.5766 0.8394
Pb 0.4217 0.2610 0.7024
Pb 0.7610 0.9217 0.7024
Mg 0.6957 0.1957 0.8599
Mg 0.8265 0.6740 0.5010
Mg 0.3063 0.8063 0.1412
Mg 0.7569 0.7429 0.9998
Mg 0.2429 0.2570 0.9998
Mg 0.1740 0.3265 0.5010

---

No. 10
Here is a relaxed structure of Li2Bi2Au from Alexandria via LeMat-Bulk. Energies are from PBE.

## Properties
Crystal system = tetragonal
Symmetry = P4/mbm
E above lowest polymorph = 0.0712 eV per atom
Fermi-level density of states = 0.53 states/eV/atom
Energy of formation = -121 kJ/mol of formula units

Cell: 6.9608 6.9608 4.4565 Å, 90.00 90.00 90.00°
Fractional coordinates of all 10 atoms:
Au 0.5000 0.5000 0.0000
Au 0.0000 0.0000 0.0000
Bi 0.1677 0.6677 0.5000
Bi 0.6677 0.8323 0.5000
Bi 0.8323 0.3323 0.5000
Bi 0.3323 0.1677 0.5000
Li 0.6427 0.1427 0.0000
Li 0.1427 0.3573 0.0000
Li 0.3573 0.8573 0.0000
Li 0.8573 0.6427 0.0000

---

No. 11
Here is a relaxed structure of KNiPt2 from Alexandria via LeMat-Bulk. Energies are from PBE.

## Properties
Crystal system = tetragonal
Symmetry = P4/mmm
E above lowest polymorph = 0.0000 eV per atom
Fermi-level density of states = 0.65 states/eV/atom
Energy of formation = 38 kJ/mol of formula units

Cell: 2.8489 2.8488 8.6631 Å, 90.00 90.00 90.00°
Fractional coordinates of all 4 atoms:
Pt 0.0000 0.0000 0.5585
Pt 0.0000 0.0000 0.9415
K 0.5000 0.5000 0.2500
Ni 0.5000 0.5000 0.7500

---

No. 12
Here is a relaxed structure of BaMgIn2Ag5 from Alexandria via LeMat-Bulk. Energies are from PBE.

## Properties
Crystal system = tetragonal
Symmetry = P4/mmm
Fermi-level density of states = 0.38 states/eV/atom
Energy of formation = 32 kJ/mol of formula units

Cell: 5.4236 5.4236 8.1277 Å, 90.00 90.00 90.00°
Fractional coordinates of all 9 atoms:
Ag 0.0000 0.5000 0.8139
Ag 0.5000 0.0000 0.8139
Ag 0.5000 0.0000 0.1861
Ag 0.0000 0.5000 0.1861
Ag 0.5000 0.5000 0.5000
In 0.5000 0.5000 0.1734
In 0.5000 0.5000 0.8266
Mg 0.0000 0.0000 0.0000
Ba 0.0000 0.0000 0.5000

---

Question: Number 1 is which compound?
Answer: RbCdBiCl6

---

Question: Look up the Fermi-level density of states of the fourth one.
Answer: 0.51 states/eV/atom